(1)
# Sm3Ho4Sc4

An optimized crystal structure of Sm3Ho4Sc4 (GGA-PBE, Alexandria via LeMat-Bulk).

a b c (Å): 10.1945 6.4873 6.4873
angles (deg): 50.05 90.00 90.00
Last column: nearest neighbours and their distance in Å.
Sites, in units of the cell vectors:
Sm 0.0000 0.0000 0.0000  5 Ho 3.44-3.62, 7 Sc 3.51-3.65, 2 Sm 3.53
Sm 0.3063 0.1404 0.1404  4 Sc 3.31-3.38, 5 Ho 3.39-3.64, 1 Sm 3.53
Sm 0.6937 0.1404 0.1404  4 Sc 3.31-3.38, 5 Ho 3.39-3.64, 1 Sm 3.53
Ho 0.0000 0.2991 0.2991  4 Sc 3.03-3.26
Ho 0.2807 0.8379 0.8379  4 Sc 3.25-3.44, 4 Sm 3.44-3.60, 2 Ho 3.57
Ho 0.5000 0.3742 0.3742  3 Sc 3.09-3.29, 2 Sm 3.39
Ho 0.7193 0.8379 0.8379  4 Sc 3.25-3.44, 4 Sm 3.44-3.60, 2 Ho 3.57
Sc 0.0000 0.6898 0.6898  4 Ho 3.03-3.35, 2 Sc 3.09
Sc 0.2145 0.5042 0.5042  2 Sc 3.09-3.30, 4 Ho 3.26-3.44, 2 Sm 3.31
Sc 0.5000 0.6368 0.6368  3 Ho 3.09-3.25, 2 Sc 3.30, 4 Sm 3.38
Sc 0.7855 0.5042 0.5042  2 Sc 3.09-3.30, 4 Ho 3.26-3.44, 2 Sm 3.31

Calculated values
Formation energy ... 0.149 eV/atom



(2)
# HfZrP

An optimized crystal structure of HfZrP (GGA-PBE, Alexandria via LeMat-Bulk).

a b c (Å): 8.2074 8.2074 3.7192
angles (deg): 90.00 90.00 90.00
Last column: nearest neighbours and their distance in Å.
Sites, in units of the cell vectors:
Hf 0.1327 0.8331 0.0000  3 P 2.56-2.74
Hf 0.1669 0.1327 0.5000  3 P 2.56-2.74
Hf 0.8331 0.8673 0.5000  3 P 2.56-2.74
Hf 0.8673 0.1669 0.0000  3 P 2.56-2.74
Zr 0.2752 0.5312 0.5000  3 P 2.61-2.70
Zr 0.4688 0.2752 0.0000  3 P 2.61-2.70
Zr 0.5312 0.7248 0.0000  3 P 2.61-2.70
Zr 0.7248 0.4688 0.5000  3 P 2.61-2.70
P 0.1477 0.3470 0.0000  3 Hf 2.56-2.74, 3 Zr 2.61-2.70
P 0.3470 0.8523 0.5000  3 Hf 2.56-2.74, 3 Zr 2.61-2.70
P 0.6530 0.1477 0.5000  3 Hf 2.56-2.74, 3 Zr 2.61-2.70
P 0.8523 0.6530 0.0000  3 Hf 2.56-2.74, 3 Zr 2.61-2.70

Calculated values
Formation energy ... -0.689 eV/atom



(3)
# InSnAu

An optimized crystal structure of InSnAu (GGA-PBE, Alexandria via LeMat-Bulk).

a b c (Å): 3.3796 6.6542 6.7421
angles (deg): 90.00 90.00 90.00
Last column: nearest neighbours and their distance in Å.
Sites, in units of the cell vectors:
In 0.0000 0.1223 0.0000  3 Au 2.83, 1 Sn 2.98
In 0.5000 0.8777 0.5000  3 Au 2.83, 1 Sn 2.98
Sn 0.0000 0.3644 0.6285  3 Au 2.80-2.82, 1 In 2.98
Sn 0.5000 0.6356 0.1285  3 Au 2.80-2.82, 1 In 2.98
Au 0.0000 0.7431 0.8102  3 Sn 2.80-2.82, 3 In 2.83
Au 0.5000 0.2569 0.3102  3 Sn 2.80-2.82, 3 In 2.83

Calculated values
Formation energy ... -0.128 eV/atom



(4)
# Pr4Te2RuCl

An optimized crystal structure of Pr4Te2RuCl (GGA-PBE, Alexandria via LeMat-Bulk).

a b c (Å): 7.5980 4.2674 7.8008
angles (deg): 90.00 107.34 90.00
Last column: nearest neighbours and their distance in Å.
Sites, in units of the cell vectors:
Pr 0.2183 0.0000 0.2124  2 Ru 2.90, 1 Cl 3.07, 1 Te 3.16
Pr 0.2321 0.5000 0.7742  1 Ru 2.84, 2 Cl 3.11, 2 Te 3.16
Pr 0.7679 0.5000 0.2258  1 Ru 2.84, 2 Cl 3.11, 2 Te 3.16
Pr 0.7817 0.0000 0.7876  2 Ru 2.90, 1 Cl 3.07, 1 Te 3.16
Te 0.0000 0.0000 0.5000  6 Pr 3.16
Te 0.5000 0.5000 0.5000  6 Pr 3.36
Ru 0.0000 0.5000 0.0000  6 Pr 2.84-2.90
Cl 0.5000 0.0000 0.0000  6 Pr 3.07-3.11

Calculated values
E_form (uncorrected) ... -106.6 kJ/mol of atoms



(5)
# Na3La2NdTe6

An optimized crystal structure of Na3La2NdTe6 (GGA-PBE, Alexandria via LeMat-Bulk).

a b c (Å): 7.9959 7.9959 7.9808
angles (deg): 99.61 99.61 120.00
Last column: nearest neighbours and their distance in Å.
Sites, in units of the cell vectors:
Na 0.0000 0.0000 0.0000  6 Te 3.29-3.33
Na 0.3327 0.6673 0.0000  6 Te 3.29-3.32
Na 0.6673 0.3327 0.0000  6 Te 3.29-3.32
La 0.1666 0.8334 0.5000  6 Te 3.23-3.24
La 0.8334 0.1666 0.5000  6 Te 3.23-3.24
Nd 0.5000 0.5000 0.5000  6 Te 3.20
Te 0.0900 0.4198 0.2592  1 Nd 3.20, 2 La 3.23-3.24, 3 Na 3.29-3.32
Te 0.2506 0.2506 0.7406  1 Nd 3.20, 2 La 3.23, 3 Na 3.30-3.33
Te 0.4198 0.0900 0.2592  1 Nd 3.20, 2 La 3.23-3.24, 3 Na 3.29-3.32
Te 0.5802 0.9100 0.7408  1 Nd 3.20, 2 La 3.23-3.24, 3 Na 3.29-3.32
Te 0.7494 0.7494 0.2594  1 Nd 3.20, 2 La 3.23, 3 Na 3.30-3.33
Te 0.9100 0.5802 0.7408  1 Nd 3.20, 2 La 3.23-3.24, 3 Na 3.29-3.32

Calculated values
E_form (uncorrected) ... -133.2 kJ/mol of atoms



(6)
# Pu3Ga2Pd3

An optimized crystal structure of Pu3Ga2Pd3 (GGA-PBE, Alexandria via LeMat-Bulk).

a b c (Å): 7.8840 15.0604 5.7402
angles (deg): 90.00 90.00 90.00
Last column: nearest neighbours and their distance in Å.
Sites, in units of the cell vectors:
Pu 0.0346 0.1082 0.1353  6 Pd 3.05-3.28, 3 Ga 3.07-3.20
Pu 0.0346 0.3918 0.1353  6 Pd 3.05-3.28, 3 Ga 3.07-3.20
Pu 0.1783 0.2500 0.5983  5 Pd 3.03-3.24, 4 Ga 3.10-3.15
Pu 0.3217 0.7500 0.0983  5 Pd 3.03-3.24, 4 Ga 3.10-3.15
Pu 0.4654 0.6082 0.6353  6 Pd 3.05-3.28, 3 Ga 3.07-3.20
Pu 0.4654 0.8918 0.6353  6 Pd 3.05-3.28, 3 Ga 3.07-3.20
Pu 0.5346 0.1082 0.3647  6 Pd 3.05-3.28, 3 Ga 3.07-3.20
Pu 0.5346 0.3918 0.3647  6 Pd 3.05-3.28, 3 Ga 3.07-3.20
Pu 0.6783 0.2500 0.9017  5 Pd 3.03-3.24, 4 Ga 3.10-3.15
Pu 0.8217 0.7500 0.4017  5 Pd 3.03-3.24, 4 Ga 3.10-3.15
Pu 0.9654 0.6082 0.8647  6 Pd 3.05-3.28, 3 Ga 3.07-3.20
Pu 0.9654 0.8918 0.8647  6 Pd 3.05-3.28, 3 Ga 3.07-3.20
Ga 0.1124 0.6071 0.3593  4 Pd 2.51-2.64
Ga 0.1124 0.8929 0.3593  4 Pd 2.51-2.64
Ga 0.3876 0.1071 0.8593  4 Pd 2.51-2.64
Ga 0.3876 0.3929 0.8593  4 Pd 2.51-2.64
Ga 0.6124 0.6071 0.1407  4 Pd 2.51-2.64
Ga 0.6124 0.8929 0.1407  4 Pd 2.51-2.64
Ga 0.8876 0.1071 0.6407  4 Pd 2.51-2.64
Ga 0.8876 0.3929 0.6407  4 Pd 2.51-2.64
Pd 0.1792 0.0347 0.5886  3 Ga 2.51-2.56
Pd 0.1792 0.4653 0.5886  3 Ga 2.51-2.56
Pd 0.1818 0.7500 0.6065  2 Ga 2.64
Pd 0.3182 0.2500 0.1065  2 Ga 2.64
Pd 0.3208 0.5347 0.0886  3 Ga 2.51-2.56
Pd 0.3208 0.9653 0.0886  3 Ga 2.51-2.56
Pd 0.6792 0.0347 0.9114  3 Ga 2.51-2.56
Pd 0.6792 0.4653 0.9114  3 Ga 2.51-2.56
Pd 0.6818 0.7500 0.8935  2 Ga 2.64
Pd 0.8182 0.2500 0.3935  2 Ga 2.64
Pd 0.8208 0.5347 0.4114  3 Ga 2.51-2.56
Pd 0.8208 0.9653 0.4114  3 Ga 2.51-2.56

Calculated values
Relative energy among the computed polymorphs ... 0.020 eV per atom
Formation energy ... -0.494 eV/atom



| no. | total energy (eV/cell) | spin magnetization (μB/f.u.) |
| --- | --- | --- |
| 1 | -56.154 | 0.0 |
| 2 | -103.908 | 0.0 |
| 3 | -20.808 | 0.0 |
| 4 | -45.365 | 0.0 |
| 5 | -54.002 | 0.0 |
| 6 | -274.328 | 17.2 |